Computed, not measured: crystalline Sm2TmTl at its relaxed geometry at the PBE level of DFT.

Its total magnetization is 0.00 μB/f.u. Its symmetry is P4/mmm. As for the formation energy: -14 kJ/mol of atoms. Its energy is -16.85 eV for the cell shown. For the density, the calculation gives 9067 kg/m³. The volume comes out at 30.86 Å³ per atom. As for the density of states at the Fermi level: 1.47 states/eV per atom.

Unit cell a=3.6169 b=3.6169 c=9.4361 alpha=90.00 beta=90.00 gamma=90.00
Atoms (fractional coordinates):
Sm (0.0000, 0.0000, 0.2333)
Tm (0.5000, 0.5000, 0.5000)
Tl (0.5000, 0.5000, 0.0000)
Sm (0.0000, 0.0000, 0.7667)

***

Computed, not measured: crystalline EuIn3Ir at its relaxed geometry at the PBE level of DFT.

Its total magnetization is 7.36 μB/f.u. Its symmetry is Pm-3m. As for the formation energy: -21 kJ/mol of atoms. Its energy is -28.44 eV for the cell shown. For the density, the calculation gives 8252 kg/m³. The volume comes out at 27.72 Å³ per atom. As for the density of states at the Fermi level: 0.55 states/eV per atom.

Unit cell a=5.1748 b=5.1748 c=5.1748 alpha=90.00 beta=90.00 gamma=90.00
Atoms (fractional coordinates):
In (0.0000, 0.5000, 0.0000)
Eu (0.5000, 0.5000, 0.5000)
In (0.0000, 0.0000, 0.5000)
In (0.5000, 0.0000, 0.0000)
Ir (0.0000, 0.0000, 0.0000)

***

Computed, not measured: crystalline KYZn2 at its relaxed geometry at the PBE level of DFT.

Its total magnetization is 0.00 μB/f.u. Its symmetry is R-3m. As for the formation energy: 13 kJ/mol of atoms. Its energy is -9.58 eV for the cell shown. For the density, the calculation gives 3569 kg/m³. The volume comes out at 30.10 Å³ per atom. As for the density of states at the Fermi level: 0.76 states/eV per atom.

Unit cell a=9.7403 b=9.7403 c=9.7403 alpha=22.67 beta=22.67 gamma=22.67
Atoms (fractional coordinates):
Zn (0.0124, 0.0124, 0.0124)
Y (0.7500, 0.7500, 0.7500)
K (0.2500, 0.2500, 0.2500)
Zn (0.4876, 0.4876, 0.4876)